This record from Alexandria via LeMat-Bulk describes crystalline Nb3PbS6 at its relaxed geometry. The functional is PBEsol.

The calculation puts the uncorrected formation energy at -1.12 eV/atom.

The structure belongs to space group P6_3/mcm (No. 193); the cell edges are 5.7745, 5.7745 and 14.7601 Å and the angles 90.00°, 90.00° and 120.00°. The asymmetric unit holds Nb at (0.0000, 0.0000, 0.2500), Nb at (0.3333, 0.6667, 0.2500), Pb at (0.0000, 0.0000, 0.0000) and S at (0.0000, 0.3365, 0.1448).

---

This record from Alexandria via LeMat-Bulk describes crystalline CrNiHg3 at its relaxed geometry. The functional is PBEsol.

As for the formation energy: 1.210 eV per atom.

The structure belongs to space group Pm-3m (No. 221); the cell edges are 5.0703, 5.0703 and 5.0703 Å and the angles 90.00°, 90.00° and 90.00°. The asymmetric unit holds Cr at (0.0000, 0.0000, 0.0000), Ni at (0.5000, 0.5000, 0.5000) and Hg at (0.0000, 0.0000, 0.5000).

---

This record from Alexandria via LeMat-Bulk describes crystalline Nb3IrS8 at its relaxed geometry. The functional is PBEsol.

The calculation puts the uncorrected formation energy at -0.89 eV/atom. For the relative energy among the computed polymorphs, the calculation gives 0.0 meV per atom.

The structure belongs to space group C2/c (No. 15); the cell edges are 11.4482, 6.6614 and 13.0205 Å and the angles 90.00°, 115.66° and 90.00°. The asymmetric unit holds Nb at (0.0000, 0.1366, 0.2500), Nb at (0.2369, 0.3889, 0.2522), Ir at (0.0000, 0.4232, 0.7500), S at (0.0966, 0.3674, 0.6217), S at (0.1031, 0.1364, 0.1180), S at (0.1332, 0.1533, 0.8612) and S at (0.1533, 0.3614, 0.3936).